Computed, not measured: a relaxed structure of Cs2MgSn at the PBE level of DFT.

## Properties
As for the calculated density: 2.32 g cm⁻³. As for the space group: I-42d (122). The density of states at the Fermi level comes out at 2.13 states/eV/f.u. The formation energy comes out at 0.6 kcal/mol of atoms. The total energy is -7.20 eV per formula unit.

Structure (CIF):
```
data_Cs2MgSn
_symmetry_space_group_name_H-M 'P 1'
_symmetry_Int_Tables_number 1
_cell_length_a 10.7684
_cell_length_b 10.7684
_cell_length_c 10.7684
_cell_angle_alpha 93.60
_cell_angle_beta 93.60
_cell_angle_gamma 150.98
loop_
_symmetry_equiv_pos_as_xyz
'x,y,z'
loop_
_atom_site_label
_atom_site_type_symbol
_atom_site_fract_x
_atom_site_fract_y
_atom_site_fract_z
Cs1 Cs 0.6250 0.9439 0.8189
Cs2 Cs 0.1250 0.8061 0.1811
Cs3 Cs 0.0561 0.8750 0.6811
Cs4 Cs 0.1939 0.3750 0.3189
Mg1 Mg 0.5000 0.5000 0.0000
Mg2 Mg 0.7500 0.2500 0.5000
Sn1 Sn 0.0000 0.0000 0.0000
Sn2 Sn 0.2500 0.7500 0.5000
```


Computed, not measured: a relaxed structure of CsMgSn2 at the PBE level of DFT.

## Properties
As for the calculated density: 5.01 g cm⁻³. As for the space group: P4/mmm (123). The density of states at the Fermi level comes out at 1.60 states/eV/f.u. The formation energy comes out at -3.8 kcal/mol of atoms. The total energy is -11.11 eV per formula unit.

Structure (CIF):
```
data_CsMgSn2
_symmetry_space_group_name_H-M 'P 1'
_symmetry_Int_Tables_number 1
_cell_length_a 3.8784
_cell_length_b 3.8784
_cell_length_c 8.6929
_cell_angle_alpha 90.00
_cell_angle_beta 90.00
_cell_angle_gamma 90.00
loop_
_symmetry_equiv_pos_as_xyz
'x,y,z'
loop_
_atom_site_label
_atom_site_type_symbol
_atom_site_fract_x
_atom_site_fract_y
_atom_site_fract_z
Cs1 Cs 0.5000 0.5000 0.5000
Mg1 Mg 0.5000 0.5000 0.0000
Sn1 Sn 0.0000 0.0000 0.8260
Sn2 Sn 0.0000 0.0000 0.1740
```


Computed, not measured: a relaxed structure of Cs5MgSn6 at the PBE level of DFT.

## Properties
As for the calculated density: 3.87 g cm⁻³. As for the space group: P-1 (2). The density of states at the Fermi level comes out at 2.75 states/eV/f.u. The formation energy comes out at -3.7 kcal/mol of atoms. The total energy is -31.80 eV per formula unit.

Structure (CIF):
```
data_Cs5MgSn6
_symmetry_space_group_name_H-M 'P 1'
_symmetry_Int_Tables_number 1
_cell_length_a 10.1459
_cell_length_b 8.0890
_cell_length_c 8.5026
_cell_angle_alpha 61.81
_cell_angle_beta 84.34
_cell_angle_gamma 78.05
loop_
_symmetry_equiv_pos_as_xyz
'x,y,z'
loop_
_atom_site_label
_atom_site_type_symbol
_atom_site_fract_x
_atom_site_fract_y
_atom_site_fract_z
Cs1 Cs 0.4993 0.2350 0.5307
Cs2 Cs 0.9990 0.6657 0.6708
Cs3 Cs 0.0010 0.3343 0.3292
Cs4 Cs 0.5000 0.5000 0.0000
Cs5 Cs 0.5007 0.7650 0.4693
Mg1 Mg 0.0000 0.0000 0.0000
Sn1 Sn 0.6560 0.9196 0.9992
Sn2 Sn 0.7741 0.0630 0.2038
Sn3 Sn 0.2253 0.7341 0.2041
Sn4 Sn 0.2259 0.9370 0.7962
Sn5 Sn 0.7747 0.2659 0.7959
Sn6 Sn 0.3440 0.0804 0.0008
```


Computed, not measured: a relaxed structure of CsMg3Sn at the PBE level of DFT.

## Properties
As for the calculated density: 2.09 g cm⁻³. As for the space group: Pm-3m (221). The density of states at the Fermi level comes out at 7.69 states/eV/f.u. The formation energy comes out at 29.8 kcal/mol of atoms. The total energy is -3.17 eV per formula unit. Its relative energy among the computed polymorphs is 0.9978 eV/atom.

Structure (CIF):
```
data_CsMg3Sn
_symmetry_space_group_name_H-M 'P 1'
_symmetry_Int_Tables_number 1
_cell_length_a 6.3679
_cell_length_b 6.3679
_cell_length_c 6.3679
_cell_angle_alpha 90.00
_cell_angle_beta 90.00
_cell_angle_gamma 90.00
loop_
_symmetry_equiv_pos_as_xyz
'x,y,z'
loop_
_atom_site_label
_atom_site_type_symbol
_atom_site_fract_x
_atom_site_fract_y
_atom_site_fract_z
Cs1 Cs 0.0000 0.0000 0.0000
Mg1 Mg 0.0000 0.5000 0.0000
Mg2 Mg 0.0000 0.0000 0.5000
Mg3 Mg 0.5000 0.0000 0.0000
Sn1 Sn 0.5000 0.5000 0.5000
```


Computed, not measured: a relaxed structure of CsMgSn3 at the PBE level of DFT.

## Properties
As for the calculated density: 4.75 g cm⁻³. As for the space group: Pm-3m (221). The density of states at the Fermi level comes out at 2.87 states/eV/f.u. The formation energy comes out at 4.0 kcal/mol of atoms. The total energy is -13.58 eV per formula unit. Its relative energy among the computed polymorphs is 0.1910 eV/atom.

Structure (CIF):
```
data_CsMgSn3
_symmetry_space_group_name_H-M 'P 1'
_symmetry_Int_Tables_number 1
_cell_length_a 5.6387
_cell_length_b 5.6387
_cell_length_c 5.6387
_cell_angle_alpha 90.00
_cell_angle_beta 90.00
_cell_angle_gamma 90.00
loop_
_symmetry_equiv_pos_as_xyz
'x,y,z'
loop_
_atom_site_label
_atom_site_type_symbol
_atom_site_fract_x
_atom_site_fract_y
_atom_site_fract_z
Cs1 Cs 0.5000 0.5000 0.5000
Mg1 Mg 0.0000 0.0000 0.0000
Sn1 Sn 0.0000 0.5000 0.0000
Sn2 Sn 0.0000 0.0000 0.5000
Sn3 Sn 0.5000 0.0000 0.0000
```


Computed, not measured: a relaxed structure of CsMg3Sn at the PBE level of DFT.

## Properties
As for the calculated density: 2.73 g cm⁻³. As for the space group: Pm-3m (221). The density of states at the Fermi level comes out at 4.00 states/eV/f.u. The formation energy comes out at 6.8 kcal/mol of atoms. The total energy is -8.16 eV per formula unit. Its relative energy among the computed polymorphs is 0.0000 eV/atom.

Structure (CIF):
```
data_CsMg3Sn
_symmetry_space_group_name_H-M 'P 1'
_symmetry_Int_Tables_number 1
_cell_length_a 5.8259
_cell_length_b 5.8259
_cell_length_c 5.8259
_cell_angle_alpha 90.00
_cell_angle_beta 90.00
_cell_angle_gamma 90.00
loop_
_symmetry_equiv_pos_as_xyz
'x,y,z'
loop_
_atom_site_label
_atom_site_type_symbol
_atom_site_fract_x
_atom_site_fract_y
_atom_site_fract_z
Cs1 Cs 0.5000 0.5000 0.5000
Mg1 Mg 0.0000 0.5000 0.0000
Mg2 Mg 0.0000 0.0000 0.5000
Mg3 Mg 0.5000 0.0000 0.0000
Sn1 Sn 0.0000 0.0000 0.0000
```


Computed, not measured: a relaxed structure of CsMg2Sn2 at the PBE level of DFT.

## Properties
As for the calculated density: 4.30 g cm⁻³. As for the space group: I4/mmm (139). The density of states at the Fermi level comes out at 2.64 states/eV/f.u. The formation energy comes out at -4.5 kcal/mol of atoms. The total energy is -13.02 eV per formula unit. Its relative energy among the computed polymorphs is 0.0000 eV/atom.

Structure (CIF):
```
data_CsMg2Sn2
_symmetry_space_group_name_H-M 'P 1'
_symmetry_Int_Tables_number 1
_cell_length_a 5.1237
_cell_length_b 5.1237
_cell_length_c 7.1458
_cell_angle_alpha 68.99
_cell_angle_beta 68.99
_cell_angle_gamma 90.00
loop_
_symmetry_equiv_pos_as_xyz
'x,y,z'
loop_
_atom_site_label
_atom_site_type_symbol
_atom_site_fract_x
_atom_site_fract_y
_atom_site_fract_z
Cs1 Cs 0.0000 0.0000 0.0000
Mg1 Mg 0.7500 0.2500 0.5000
Mg2 Mg 0.2500 0.7500 0.5000
Sn1 Sn 0.3795 0.3795 0.2410
Sn2 Sn 0.6205 0.6205 0.7590
```


Computed, not measured: a relaxed structure of Cs2MgSn7 at the PBE level of DFT.

## Properties
As for the calculated density: 5.31 g cm⁻³. As for the space group: P-4m2 (115). The density of states at the Fermi level comes out at 3.12 states/eV/f.u. The formation energy comes out at -3.8 kcal/mol of atoms. The total energy is -32.96 eV per formula unit.

Structure (CIF):
```
data_Cs2MgSn7
_symmetry_space_group_name_H-M 'P 1'
_symmetry_Int_Tables_number 1
_cell_length_a 5.1859
_cell_length_b 5.1859
_cell_length_c 13.0449
_cell_angle_alpha 90.00
_cell_angle_beta 90.00
_cell_angle_gamma 90.00
loop_
_symmetry_equiv_pos_as_xyz
'x,y,z'
loop_
_atom_site_label
_atom_site_type_symbol
_atom_site_fract_x
_atom_site_fract_y
_atom_site_fract_z
Cs1 Cs 0.5000 0.0000 0.7516
Cs2 Cs 0.0000 0.5000 0.2484
Mg1 Mg 0.5000 0.5000 0.0000
Sn1 Sn 0.0000 0.5000 0.8761
Sn2 Sn 0.5000 0.0000 0.3726
Sn3 Sn 0.5000 0.0000 0.1239
Sn4 Sn 0.0000 0.5000 0.6274
Sn5 Sn 0.0000 0.0000 0.5000
Sn6 Sn 0.0000 0.0000 0.0000
Sn7 Sn 0.5000 0.5000 0.5000
```


Computed, not measured: a relaxed structure of CsMg4Sn5 at the PBE level of DFT.

## Properties
As for the calculated density: 4.96 g cm⁻³. As for the space group: P4/mmm (123). The density of states at the Fermi level comes out at 4.45 states/eV/f.u. The formation energy comes out at -2.6 kcal/mol of atoms. The total energy is -28.39 eV per formula unit.

Structure (CIF):
```
data_CsMg4Sn5
_symmetry_space_group_name_H-M 'P 1'
_symmetry_Int_Tables_number 1
_cell_length_a 3.8122
_cell_length_b 3.8122
_cell_length_c 18.9891
_cell_angle_alpha 90.00
_cell_angle_beta 90.00
_cell_angle_gamma 90.00
loop_
_symmetry_equiv_pos_as_xyz
'x,y,z'
loop_
_atom_site_label
_atom_site_type_symbol
_atom_site_fract_x
_atom_site_fract_y
_atom_site_fract_z
Cs1 Cs 0.0000 0.0000 0.0000
Mg1 Mg 0.0000 0.0000 0.2324
Mg2 Mg 0.0000 0.0000 0.4082
Mg3 Mg 0.0000 0.0000 0.5918
Mg4 Mg 0.0000 0.0000 0.7676
Sn1 Sn 0.5000 0.5000 0.1530
Sn2 Sn 0.5000 0.5000 0.3205
Sn3 Sn 0.5000 0.5000 0.5000
Sn4 Sn 0.5000 0.5000 0.6795
Sn5 Sn 0.5000 0.5000 0.8470
```


Computed, not measured: a relaxed structure of CsMgSn2 at the PBE level of DFT.

## Properties
As for the calculated density: 3.71 g cm⁻³. As for the space group: I-42d (122). The density of states at the Fermi level comes out at 2.18 states/eV/f.u. The formation energy comes out at 0.1 kcal/mol of atoms. The total energy is -10.43 eV per formula unit.

Structure (CIF):
```
data_CsMgSn2
_symmetry_space_group_name_H-M 'P 1'
_symmetry_Int_Tables_number 1
_cell_length_a 5.9626
_cell_length_b 5.9626
_cell_length_c 10.7928
_cell_angle_alpha 73.96
_cell_angle_beta 73.96
_cell_angle_gamma 90.00
loop_
_symmetry_equiv_pos_as_xyz
'x,y,z'
loop_
_atom_site_label
_atom_site_type_symbol
_atom_site_fract_x
_atom_site_fract_y
_atom_site_fract_z
Cs1 Cs 0.0000 0.0000 0.0000
Cs2 Cs 0.7500 0.2500 0.5000
Mg1 Mg 0.5000 0.5000 0.0000
Mg2 Mg 0.2500 0.7500 0.5000
Sn1 Sn 0.3741 0.1250 0.2500
Sn2 Sn 0.3759 0.6250 0.2500
Sn3 Sn 0.3750 0.6259 0.7500
Sn4 Sn 0.8750 0.6241 0.7500
```


Computed, not measured: a relaxed structure of CsMgSn3 at the PBE level of DFT.

## Properties
As for the calculated density: 3.52 g cm⁻³. As for the space group: Pm-3m (221). The density of states at the Fermi level comes out at 7.80 states/eV/f.u. The formation energy comes out at 32.3 kcal/mol of atoms. The total energy is -7.46 eV per formula unit. Its relative energy among the computed polymorphs is 1.4165 eV/atom.

Structure (CIF):
```
data_CsMgSn3
_symmetry_space_group_name_H-M 'P 1'
_symmetry_Int_Tables_number 1
_cell_length_a 6.2347
_cell_length_b 6.2347
_cell_length_c 6.2347
_cell_angle_alpha 90.00
_cell_angle_beta 90.00
_cell_angle_gamma 90.00
loop_
_symmetry_equiv_pos_as_xyz
'x,y,z'
loop_
_atom_site_label
_atom_site_type_symbol
_atom_site_fract_x
_atom_site_fract_y
_atom_site_fract_z
Cs1 Cs 0.0000 0.0000 0.0000
Mg1 Mg 0.5000 0.5000 0.5000
Sn1 Sn 0.0000 0.5000 0.0000
Sn2 Sn 0.0000 0.0000 0.5000
Sn3 Sn 0.5000 0.0000 0.0000
```